Record 1
Crystalline BeCu2Sn at its relaxed geometry, computed with PBE-GGA.

POSCAR file:
```
BeCu2Sn
1.0
6.083 0.000 0.000
0.000 6.083 0.000
0.000 0.000 6.083
Be Cu Sn
4 8 4
direct
0.500 0.500 0.000
0.500 0.000 0.500
0.000 0.500 0.500
0.500 0.500 0.500
0.287 0.287 0.287
0.713 0.287 0.287
0.287 0.713 0.287
0.713 0.713 0.287
0.287 0.287 0.713
0.713 0.287 0.713
0.287 0.713 0.713
0.713 0.713 0.713
0.000 0.000 0.000
0.500 0.000 0.000
0.000 0.500 0.000
0.000 0.000 0.500
```

E above lowest polymorph ... 0.00 eV per formula unit


Record 2
Crystalline PmPaOs at its relaxed geometry, computed with PBE-GGA.

POSCAR file:
```
PmPaOs
1.0
0.972 -3.943 2.597
-2.789 -3.910 -0.418
1.702 -3.955 -2.168
Os Pa Pm
1 1 1
direct
0.000 0.000 0.000
0.250 0.250 0.250
0.750 0.750 0.750
```

Energy of formation ... 0.072 eV/atom